This record from the Alexandria database describes a relaxed structure of PmDy12Sc6. The functional is PBE.

```
19
Lattice="-8.830 -1.617 -1.065 2.588 -2.708 8.227 1.570 8.858 -0.889" Properties=species:S:1:pos:R:3 pbc="T T T"
Dy -4.349 1.461 4.698
Dy -6.286 -1.404 1.281
Dy -3.753 -1.956 6.697
Dy -0.918 6.488 -0.425
Dy -3.825 4.474 2.911
Dy -3.171 1.080 0.892
Dy -0.322 3.072 1.574
Dy 1.614 5.936 4.992
Dy -0.846 0.059 3.362
Dy 1.881 0.080 6.291
Dy -6.553 4.453 -0.018
Dy -1.500 3.452 5.381
Sc -1.614 0.066 6.240
Sc -4.120 -1.166 3.312
Sc 1.221 2.480 4.654
Sc -0.552 5.699 2.961
Sc -3.058 4.467 0.032
Sc -5.892 2.053 1.618
Pm 0.000 0.000 0.000
```

Calculated values
E above lowest polymorph: 0 meV per atom
energy: -0.3611 Ry/atom
energy of formation from the pure elements: 4.62 eV/f.u.
crystal system: cubic